(1)
Crystalline PmTm2Mg at its relaxed geometry, computed with PBE-GGA.

Cell lengths 3.4384, 3.4384, 12.3645 Å; angles 82.01, 82.01, 60.00 degrees
Last column: nearest neighbours and their distance in Å.
Sites, in units of the cell vectors:
Pm 0.5000 0.5000 0.5000  6 Pm 3.44, 6 Tm 3.48
Tm 0.9115 0.9115 0.2655  1 Mg 3.24, 6 Tm 3.44, 3 Pm 3.48
Tm 0.0885 0.0885 0.7345  1 Mg 3.24, 6 Tm 3.44, 3 Pm 3.48
Mg 0.0000 0.0000 0.0000  2 Tm 3.24, 6 Mg 3.44

(2)
Crystalline Pm7TmMg4 at its relaxed geometry, computed with PBE-GGA.

Cell lengths 5.8288, 9.2383, 8.2146 Å; angles 67.80, 69.22, 71.61 degrees
Last column: nearest neighbours and their distance in Å.
Sites, in units of the cell vectors:
Mg 0.5392 0.3059 0.6158  2 Mg 3.10-3.33, 4 Pm 3.12-3.34
Pm 0.7486 0.2862 0.2166  4 Mg 3.12-3.31, 1 Tm 3.40
Pm 0.0823 0.5736 0.2618  5 Mg 3.22-3.50, 2 Pm 3.50-3.51
Mg 0.4608 0.6941 0.3842  2 Mg 3.10-3.33, 4 Pm 3.12-3.34
Pm 0.1966 0.1220 0.4847  7 Pm 3.58-3.81, 3 Mg 3.62-3.63, 1 Tm 3.78
Pm 0.8034 0.8780 0.5153  7 Pm 3.58-3.81, 3 Mg 3.62-3.63, 1 Tm 3.78
Pm 0.2514 0.7138 0.7834  4 Mg 3.12-3.31, 1 Tm 3.40
Tm 0.0000 0.0000 0.0000  2 Pm 2.91
Pm 0.9177 0.4264 0.7382  5 Mg 3.22-3.50, 2 Pm 3.50-3.51
Mg 0.6742 0.6551 0.9965  5 Pm 3.03-3.31, 1 Mg 3.10
Mg 0.3258 0.3449 0.0035  5 Pm 3.03-3.31, 1 Mg 3.10
Pm 0.5000 0.0000 0.0000  2 Tm 2.91, 2 Mg 3.03

Number 1: formation enthalpy at 0 K 0.220 eV/atom, final energy -3.6025 eV per atom. Number 2: formation enthalpy at 0 K 0.135 eV/atom, final energy -3.5406 eV per atom.